# PBE-GGA HfVAu2, relaxed
# electronic total energy = -23.65 eV for the cell shown
# polymorph energy (0 for the lowest one) = 684 meV/atom
# formation energy from the elements = 48 kJ/mol of atoms
data_HfVAu2
_cell_length_a 6.219
_cell_length_b 6.219
_cell_length_c 6.219
_cell_angle_alpha 152.03
_cell_angle_beta 135.68
_cell_angle_gamma 53.22
_symmetry_space_group_name_H-M 'P 1'
_symmetry_Int_Tables_number 1
loop_
_symmetry_equiv_pos_as_xyz
'x,y,z'
loop_
_atom_site_label
_atom_site_fract_x
_atom_site_fract_y
_atom_site_fract_z
Hf1 0.000 0.000 0.000
V1 0.500 0.500 0.000
Au1 0.262 0.262 0.000
Au2 0.738 0.738 0.000

***

# PBE-GGA Re3SnHg, relaxed
# electronic total energy = -27.78 eV for the cell shown
# polymorph energy (0 for the lowest one) = 0 meV/atom
# formation energy from the elements = 268 kJ/mol of atoms
data_Re3SnHg
_cell_length_a 4.878
_cell_length_b 4.878
_cell_length_c 4.878
_cell_angle_alpha 90.00
_cell_angle_beta 90.00
_cell_angle_gamma 90.00
_symmetry_space_group_name_H-M 'P 1'
_symmetry_Int_Tables_number 1
loop_
_symmetry_equiv_pos_as_xyz
'x,y,z'
loop_
_atom_site_label
_atom_site_fract_x
_atom_site_fract_y
_atom_site_fract_z
Re1 0.000 0.000 0.500
Re2 0.000 0.500 0.000
Re3 0.500 0.000 0.000
Sn1 0.000 0.000 0.000
Hg1 0.500 0.500 0.500

***

# PBE-GGA Pm3Sm4Ga4, relaxed
# electronic total energy = -49.66 eV for the cell shown
# formation energy from the elements = -39 kJ/mol of atoms
data_Pm3Sm4Ga4
_cell_length_a 10.378
_cell_length_b 10.378
_cell_length_c 10.378
_cell_angle_alpha 159.69
_cell_angle_beta 127.60
_cell_angle_gamma 56.77
_symmetry_space_group_name_H-M 'P 1'
_symmetry_Int_Tables_number 1
loop_
_symmetry_equiv_pos_as_xyz
'x,y,z'
loop_
_atom_site_label
_atom_site_fract_x
_atom_site_fract_y
_atom_site_fract_z
Pm1 0.000 0.000 0.000
Pm2 0.405 0.905 0.500
Pm3 0.595 0.095 0.500
Sm1 0.014 0.333 0.682
Sm2 0.349 0.667 0.682
Sm3 0.651 0.333 0.318
Sm4 0.986 0.667 0.318
Ga1 0.273 0.273 0.000
Ga2 0.276 0.500 0.776
Ga3 0.724 0.500 0.224
Ga4 0.727 0.727 0.000

***

# PBE-GGA AcCe2PuS4, relaxed
# electronic total energy = -62.28 eV for the cell shown
data_AcCe2PuS4
_cell_length_a 7.097
_cell_length_b 4.075
_cell_length_c 7.103
_cell_angle_alpha 90.00
_cell_angle_beta 109.25
_cell_angle_gamma 90.00
_symmetry_space_group_name_H-M 'P 1'
_symmetry_Int_Tables_number 1
loop_
_symmetry_equiv_pos_as_xyz
'x,y,z'
loop_
_atom_site_label
_atom_site_fract_x
_atom_site_fract_y
_atom_site_fract_z
Ac1 0.000 0.000 0.000
Ce1 0.000 0.500 0.500
Ce2 0.500 0.000 0.500
Pu1 0.500 0.500 0.000
S1 0.262 0.000 0.749
S2 0.265 0.500 0.260
S3 0.735 0.500 0.740
S4 0.738 0.000 0.251

***

# PBE-GGA Ba2LiCoCl6, relaxed
# electronic total energy = -83.74 eV for the cell shown
data_Ba2LiCoCl6
_cell_length_a 11.900
_cell_length_b 11.900
_cell_length_c 11.900
_cell_angle_alpha 33.91
_cell_angle_beta 33.91
_cell_angle_gamma 33.91
_symmetry_space_group_name_H-M 'P 1'
_symmetry_Int_Tables_number 1
loop_
_symmetry_equiv_pos_as_xyz
'x,y,z'
loop_
_atom_site_label
_atom_site_fract_x
_atom_site_fract_y
_atom_site_fract_z
Ba1 0.126 0.126 0.126
Ba2 0.292 0.292 0.292
Ba3 0.708 0.708 0.708
Ba4 0.874 0.874 0.874
Li1 0.417 0.417 0.417
Li2 0.583 0.583 0.583
Co1 0.000 0.000 0.000
Co2 0.500 0.500 0.500
Cl1 0.115 0.632 0.632
Cl2 0.208 0.208 0.710
Cl3 0.208 0.710 0.208
Cl4 0.290 0.792 0.792
Cl5 0.368 0.368 0.885
Cl6 0.368 0.885 0.368
Cl7 0.632 0.115 0.632
Cl8 0.632 0.632 0.115
Cl9 0.710 0.208 0.208
Cl10 0.792 0.290 0.792
Cl11 0.792 0.792 0.290
Cl12 0.885 0.368 0.368

***

# PBE-GGA TbAu6, relaxed
# electronic total energy = -217.81 eV for the cell shown
# polymorph energy (0 for the lowest one) = 0 meV/atom
# formation energy from the elements = -40 kJ/mol of atoms
data_TbAu6
_cell_length_a 10.502
_cell_length_b 10.502
_cell_length_c 9.947
_cell_angle_alpha 90.00
_cell_angle_beta 90.00
_cell_angle_gamma 90.00
_symmetry_space_group_name_H-M 'P 1'
_symmetry_Int_Tables_number 1
loop_
_symmetry_equiv_pos_as_xyz
'x,y,z'
loop_
_atom_site_label
_atom_site_fract_x
_atom_site_fract_y
_atom_site_fract_z
Tb1 0.073 0.073 0.211
Tb2 0.073 0.427 0.711
Tb3 0.427 0.073 0.711
Tb4 0.427 0.427 0.211
Tb5 0.573 0.573 0.789
Tb6 0.573 0.927 0.289
Tb7 0.927 0.573 0.289
Tb8 0.927 0.927 0.789
Au1 0.000 0.000 0.500
Au2 0.000 0.500 0.000
Au3 0.014 0.680 0.578
Au4 0.014 0.820 0.078
Au5 0.122 0.698 0.854
Au6 0.122 0.802 0.354
Au7 0.149 0.149 0.679
Au8 0.149 0.351 0.179
Au9 0.180 0.514 0.422
Au10 0.180 0.986 0.922
Au11 0.198 0.622 0.146
Au12 0.198 0.878 0.646
Au13 0.250 0.250 0.432
Au14 0.250 0.250 0.932
Au15 0.302 0.622 0.646
Au16 0.302 0.878 0.146
Au17 0.320 0.514 0.922
Au18 0.320 0.986 0.422
Au19 0.351 0.149 0.179
Au20 0.351 0.351 0.679
Au21 0.378 0.698 0.354
Au22 0.378 0.802 0.854
Au23 0.486 0.680 0.078
Au24 0.486 0.820 0.578
Au25 0.500 0.000 0.000
Au26 0.500 0.500 0.500
Au27 0.514 0.180 0.422
Au28 0.514 0.320 0.922
Au29 0.622 0.198 0.146
Au30 0.622 0.302 0.646
Au31 0.649 0.649 0.321
Au32 0.649 0.851 0.821
Au33 0.680 0.014 0.578
Au34 0.680 0.486 0.078
Au35 0.698 0.122 0.854
Au36 0.698 0.378 0.354
Au37 0.750 0.750 0.068
Au38 0.750 0.750 0.568
Au39 0.802 0.122 0.354
Au40 0.802 0.378 0.854
Au41 0.820 0.014 0.078
Au42 0.820 0.486 0.578
Au43 0.851 0.649 0.821
Au44 0.851 0.851 0.321
Au45 0.878 0.198 0.646
Au46 0.878 0.302 0.146
Au47 0.986 0.180 0.922
Au48 0.986 0.320 0.422

***

# PBE-GGA La2Nd8Ho, relaxed
# electronic total energy = -51.27 eV for the cell shown
# polymorph energy (0 for the lowest one) = 0 meV/atom
# formation energy from the elements = 11 kJ/mol of atoms
data_La2Nd8Ho
_cell_length_a 6.837
_cell_length_b 6.837
_cell_length_c 9.533
_cell_angle_alpha 104.16
_cell_angle_beta 104.16
_cell_angle_gamma 66.81
_symmetry_space_group_name_H-M 'P 1'
_symmetry_Int_Tables_number 1
loop_
_symmetry_equiv_pos_as_xyz
'x,y,z'
loop_
_atom_site_label
_atom_site_fract_x
_atom_site_fract_y
_atom_site_fract_z
La1 0.141 0.141 0.134
La2 0.859 0.859 0.866
Nd1 0.220 0.650 0.230
Nd2 0.308 0.308 0.503
Nd3 0.317 0.317 0.871
Nd4 0.350 0.780 0.770
Nd5 0.650 0.220 0.230
Nd6 0.683 0.683 0.129
Nd7 0.692 0.692 0.497
Nd8 0.780 0.350 0.770
Ho1 0.000 0.000 0.500

***

# PBE-GGA BaTc2Au, relaxed
# electronic total energy = -24.97 eV for the cell shown
# polymorph energy (0 for the lowest one) = 0 meV/atom
# formation energy from the elements = 23 kJ/mol of atoms
data_BaTc2Au
_cell_length_a 6.814
_cell_length_b 6.814
_cell_length_c 6.814
_cell_angle_alpha 36.75
_cell_angle_beta 36.75
_cell_angle_gamma 36.75
_symmetry_space_group_name_H-M 'P 1'
_symmetry_Int_Tables_number 1
loop_
_symmetry_equiv_pos_as_xyz
'x,y,z'
loop_
_atom_site_label
_atom_site_fract_x
_atom_site_fract_y
_atom_site_fract_z
Ba1 0.000 0.000 0.000
Tc1 0.195 0.195 0.195
Tc2 0.526 0.526 0.526
Au1 0.790 0.790 0.790

***

# PBE-GGA La2NiGe, relaxed
# electronic total energy = -22.06 eV for the cell shown
# formation energy from the elements = -44 kJ/mol of atoms
data_La2NiGe
_cell_length_a 3.598
_cell_length_b 3.598
_cell_length_c 7.531
_cell_angle_alpha 90.00
_cell_angle_beta 90.00
_cell_angle_gamma 90.00
_symmetry_space_group_name_H-M 'P 1'
_symmetry_Int_Tables_number 1
loop_
_symmetry_equiv_pos_as_xyz
'x,y,z'
loop_
_atom_site_label
_atom_site_fract_x
_atom_site_fract_y
_atom_site_fract_z
La1 0.000 0.000 0.236
La2 0.000 0.000 0.764
Ni1 0.500 0.500 0.000
Ge1 0.500 0.500 0.500

***

# PBE-GGA La12CeNd7, relaxed
# electronic total energy = -93.53 eV for the cell shown
# polymorph energy (0 for the lowest one) = 163 meV/atom
# formation energy from the elements = 24 kJ/mol of atoms
data_La12CeNd7
_cell_length_a 11.255
_cell_length_b 11.255
_cell_length_c 11.255
_cell_angle_alpha 115.78
_cell_angle_beta 115.78
_cell_angle_gamma 115.78
_symmetry_space_group_name_H-M 'P 1'
_symmetry_Int_Tables_number 1
loop_
_symmetry_equiv_pos_as_xyz
'x,y,z'
loop_
_atom_site_label
_atom_site_fract_x
_atom_site_fract_y
_atom_site_fract_z
La1 0.018 0.803 0.588
La2 0.197 0.412 0.982
La3 0.224 0.748 0.298
La4 0.252 0.702 0.776
La5 0.298 0.224 0.748
La6 0.412 0.982 0.197
La7 0.588 0.018 0.803
La8 0.702 0.776 0.252
La9 0.748 0.298 0.224
La10 0.776 0.252 0.702
La11 0.803 0.588 0.018
La12 0.982 0.197 0.412
Ce1 0.500 0.500 0.500
Nd1 0.000 0.000 0.000
Nd2 0.135 0.434 0.295
Nd3 0.295 0.135 0.434
Nd4 0.434 0.295 0.135
Nd5 0.566 0.705 0.865
Nd6 0.705 0.865 0.566
Nd7 0.865 0.566 0.705

***

# PBE-GGA GeSbBr2, relaxed
# electronic total energy = -12.08 eV for the cell shown
# polymorph energy (0 for the lowest one) = 0 meV/atom
data_GeSbBr2
_cell_length_a 10.164
_cell_length_b 10.164
_cell_length_c 10.164
_cell_angle_alpha 20.44
_cell_angle_beta 20.44
_cell_angle_gamma 20.44
_symmetry_space_group_name_H-M 'P 1'
_symmetry_Int_Tables_number 1
loop_
_symmetry_equiv_pos_as_xyz
'x,y,z'
loop_
_atom_site_label
_atom_site_fract_x
_atom_site_fract_y
_atom_site_fract_z
Ge1 0.000 0.000 0.000
Sb1 0.500 0.500 0.500
Br1 0.404 0.404 0.404
Br2 0.596 0.596 0.596

***

# PBE-GGA VCrRe2Se, relaxed
# electronic total energy = -39.86 eV for the cell shown
data_VCrRe2Se
_cell_length_a 4.517
_cell_length_b 4.517
_cell_length_c 4.293
_cell_angle_alpha 90.00
_cell_angle_beta 90.00
_cell_angle_gamma 90.00
_symmetry_space_group_name_H-M 'P 1'
_symmetry_Int_Tables_number 1
loop_
_symmetry_equiv_pos_as_xyz
'x,y,z'
loop_
_atom_site_label
_atom_site_fract_x
_atom_site_fract_y
_atom_site_fract_z
V1 0.000 0.000 0.000
Cr1 0.000 0.000 0.500
Re1 0.000 0.500 0.500
Re2 0.500 0.000 0.500
Se1 0.500 0.500 0.000